GGA-PBE AgCl3, relaxed; VASP energy = -1.787 eV per atom; energy relative to the elements, uncorrected = 0.310 eV/atom
1.0
4.9953 0.0025 0.0000
-0.0010 4.9953 0.0000
0.0000 0.0000 3.3578
Ag Cl
1 3
Direct
0.0000 0.0000 0.0000
0.0000 0.5000 0.5000
0.5000 0.0000 0.5000
0.5000 0.5000 0.0000